A plane-wave DFT calculation with PBE-GGA was carried out for crystalline HfCoSiPd at its relaxed geometry.

a = 4.3597 Å, b = 4.3597 Å, c = 4.3597 Å
α = 60.00°, β = 60.00°, γ = 60.00°
Closest atoms and distances in Å follow each position.
Positions (direct):
Hf1 0.5000 0.5000 0.5000  4 Pd 2.67, 4 Co 2.67
Si1 0.0000 0.0000 0.0000  4 Pd 2.67, 4 Co 2.67
Co1 0.7500 0.7500 0.7500  4 Hf 2.67, 4 Si 2.67
Pd1 0.2500 0.2500 0.2500  4 Hf 2.67, 4 Si 2.67

Output
Distance to the lowest polymorph of the same formula, meV/atom: 0
Uncorrected energy, eV per atom: -7.421
SG: F-43m

A plane-wave DFT calculation with PBE-GGA was carried out for crystalline FeCuSnPd at its relaxed geometry.

a = 4.4084 Å, b = 4.4084 Å, c = 4.4084 Å
α = 60.00°, β = 60.00°, γ = 60.00°
Closest atoms and distances in Å follow each position.
Positions (direct):
Cu1 0.7500 0.7500 0.7500  4 Sn 2.70, 4 Pd 2.70
Pd1 0.5000 0.5000 0.5000  4 Fe 2.70, 4 Cu 2.70
Sn1 0.0000 0.0000 0.0000  4 Cu 2.70, 4 Fe 2.70
Fe1 0.2500 0.2500 0.2500  4 Sn 2.70, 4 Pd 2.70

Output
Distance to the lowest polymorph of the same formula, meV/atom: 0
Uncorrected energy, eV per atom: -5.330
SG: F-43m

Question: What is the distance to the lowest polymorph of the same formula in the second record?
Answer: 0 meV/atom

Question: Which of these has the lowest uncorrected energy?
Answer: HfCoSiPd